This record from the Alexandria database describes a geometry-optimized Mg3Fe2O7 structure. The functional is GGA-PBEsol.

Calculated values
As for the formation energy (no corrections): -45.1 kcal/mol of atoms. The density of states at the Fermi level is 11.706 states/eV/cell. Its total magnetic moment is 8.0 μB per cell. The calculation puts the calculated total energy at -6.94 eV/atom.

abc: 4.913 5.153 9.014
angles: 90.00 105.81 90.00
Each line ends with the local moment (μB).
Element x y z (fractional)
Mg 0.228 0.324 0.000  0.01
Mg 0.772 0.824 0.000  0.01
Mg 0.438 0.172 0.385  0.01
Mg 0.562 0.672 0.615  0.01
Mg 0.054 0.172 0.615  0.01
Mg 0.946 0.672 0.385  0.01
Fe 0.647 0.250 0.797  1.70
Fe 0.353 0.750 0.203  1.70
Fe 0.150 0.750 0.797  1.70
Fe 0.850 0.250 0.203  1.70
O 0.065 0.292 0.406  0.05
O 0.935 0.792 0.594  0.05
O 0.341 0.792 0.406  0.05
O 0.659 0.292 0.594  0.05
O 0.689 0.951 0.261  0.04
O 0.311 0.451 0.739  0.04
O 0.572 0.451 0.261  0.04
O 0.428 0.951 0.739  0.04
O 0.139 0.059 0.152  0.07
O 0.861 0.559 0.848  0.07
O 0.625 0.208 0.000  0.12
O 0.375 0.708 0.000  0.12
O 0.987 0.059 0.848  0.07
O 0.013 0.559 0.152  0.07



This record from the Alexandria database describes a geometry-optimized PRuPb structure. The functional is GGA-PBEsol.

Calculated values
The formation enthalpy at 0 K is 8.5 kcal/mol of atoms. The density of states at the Fermi level is 2.512 states/eV/cell. Its total magnetic moment is 0.0 μB per cell. The calculation puts the calculated total energy at -6.29 eV/atom.

abc: 4.326 4.326 4.326
angles: 60.00 60.00 60.00
Element x y z (fractional)
P 0.000 0.000 0.000
Pb 0.500 0.500 0.500
Ru 0.250 0.250 0.250



This record from the Alexandria database describes a geometry-optimized RbCa3Fe structure. The functional is GGA-PBEsol.

Calculated values
The formation enthalpy at 0 K is 38.4 kcal/mol of atoms. The density of states at the Fermi level is 8.147 states/eV/cell. Its total magnetic moment is 2.1 μB per cell. The calculation puts the calculated total energy at -1.61 eV/atom.

abc: 5.603 5.603 5.603
angles: 90.00 90.00 90.00
Each line ends with the local moment (μB).
Element x y z (fractional)
Ca 0.000 0.500 0.000  -0.10
Ca 0.000 0.000 0.500  -0.10
Ca 0.500 0.000 0.000  -0.10
Fe 0.500 0.500 0.500  3.31
Rb 0.000 0.000 0.000  -0.11



This record from the Alexandria database describes a geometry-optimized SiHgSe2N structure. The functional is GGA-PBEsol.

Calculated values
As for the formation energy (no corrections): 3.5 kcal/mol of atoms. The density of states at the Fermi level is 2.412 states/eV/cell. Its total magnetic moment is 0.0 μB per cell. The calculation puts the calculated total energy at -4.36 eV/atom.

abc: 3.259 5.213 5.213
angles: 90.00 90.00 90.00
Element x y z (fractional)
Si 0.000 0.000 0.000
Hg 0.500 0.500 0.500
Se 0.000 0.000 0.500
Se 0.000 0.500 0.000
N 0.500 0.000 0.000



This record from the Alexandria database describes a geometry-optimized MgTl2In structure. The functional is GGA-PBEsol.

Calculated values
The formation enthalpy at 0 K is -0.4 kcal/mol of atoms. The density of states at the Fermi level is 1.672 states/eV/cell. Its total magnetic moment is 0.0 μB per cell. The calculation puts the calculated total energy at -2.51 eV/atom.

abc: 3.834 3.834 6.969
angles: 90.00 90.00 90.00
Element x y z (fractional)
Tl 0.000 0.000 0.743
Tl 0.000 0.000 0.257
Mg 0.500 0.500 0.500
In 0.500 0.500 0.000



This record from the Alexandria database describes a geometry-optimized La2ZnAs structure. The functional is GGA-PBEsol.

Calculated values
The formation enthalpy at 0 K is -11.5 kcal/mol of atoms. The density of states at the Fermi level is 4.073 states/eV/cell. Its total magnetic moment is 0.8 μB per cell. The calculation puts the calculated total energy at -4.84 eV/atom.

abc: 4.097 4.097 7.998
angles: 75.16 75.16 60.00
Each line ends with the local moment (μB).
Element x y z (fractional)
As 0.216 0.216 0.351  0.01
La 0.971 0.971 0.086  0.17
La 0.780 0.780 0.659  0.08
Zn 0.532 0.532 0.404  0.01